4
Lattice="5.4846 0.0000 0.0000 2.7423 4.7498 0.0000 2.7423 1.5833 4.4767" Properties=species:S:1:pos:R:3 comment="PmTm2Pb | Alexandria | PBE | optimized geometry" de_polymorph_ev_per_fu=0.82 formation_energy_mev_per_atom=-103.7 sg=F-43m pbc="T T T"
Tm 2.7423 1.5833 1.1175
Tm 2.7423 1.5833 4.4754
Pb 8.2269 4.7498 3.3586
Pm 5.4846 3.1665 2.2403



11
Lattice="-5.2127 1.4291 2.2438 0.7487 -3.9485 4.2541 7.1333 9.0863 3.1527" Properties=species:S:1:pos:R:3 comment="Pm3Tm2Pb6 | Alexandria | PBE | optimized geometry" formation_energy_mev_per_atom=-116.9 sg=I4/mmm pbc="T T T"
Tm 4.1748 6.6666 5.4528
Tm -1.5055 -0.0997 4.1978
Pb 2.8822 4.6024 3.7645
Pb -0.2129 1.9645 5.8862
Pb 1.1354 -0.7589 3.1211
Pb 1.5339 7.3258 6.5295
Pb 4.5146 4.6371 7.5347
Pb -1.8452 1.9299 2.1160
Pm 1.5058 2.4046 1.9668
Pm 0.0000 0.0000 0.0000
Pm 1.1635 4.1623 7.6838



16
Lattice="-6.1664 -0.7886 1.9323 -0.2917 -5.6455 -3.2351 3.5613 -5.4275 9.1502" Properties=species:S:1:pos:R:3 comment="Pm3TmPb4 | Alexandria | PBE | optimized geometry" de_polymorph_ev_per_fu=0.00 formation_energy_mev_per_atom=-464.5 sg=Pmn2_1 pbc="T T T"
Pb 1.6870 -4.4674 3.5713
Pb -1.5401 -7.6836 2.9197
Pb 0.9714 -7.4320 5.5289
Pb -3.1726 -2.1469 -0.0386
Pb -3.7585 -2.2914 3.5412
Pb -6.3998 -5.3642 -0.6910
Pb -0.8085 -4.7194 0.9557
Pb -1.9771 -5.0062 8.1182
Pm -3.8875 -5.1120 1.9190
Pm -0.6795 -1.8983 2.5781
Pm 1.1008 -4.6114 7.1522
Pm 1.5436 -7.2894 1.9533
Pm -2.1065 -7.8263 6.4951
Pm -6.2563 -2.5414 0.9276
Tm -3.3155 -4.9687 -1.6567
Tm -1.3971 -4.8607 4.5385



12
Lattice="-5.1421 2.8305 0.4889 -2.2275 -7.8552 -2.8956 3.1342 -0.0099 8.0764" Properties=species:S:1:pos:R:3 comment="Pm2TmPb3 | Alexandria | PBE | optimized geometry" de_polymorph_ev_per_fu=0.00 formation_energy_mev_per_atom=-451.9 sg=C2/c pbc="T T T"
Pm -4.7548 -3.7873 0.1913
Pm -1.1629 1.4684 7.5416
Pm -3.0725 -6.5031 -1.8720
Pm 0.5194 -1.2474 5.4783
Pb -2.7283 -1.2640 0.6813
Pb -1.5070 -3.7706 4.9883
Pb -1.1137 -3.9276 -1.4478
Pb -1.0039 1.4103 4.2826
Pb -4.4306 1.4225 2.7037
Pb 0.1952 -6.4572 2.9659
Tm -1.2830 -3.8847 1.7900
Tm -2.9523 -1.1500 3.8797



Number 1: E -17.817 eV per cell, total magnetic moment 0.002 μB/f.u., ρ 9.83 g/cm3. Number 2: E -46.731 eV per cell, total magnetic moment 0.000 μB/f.u., ρ 8.70 g/cm3. Number 3: E -74.545 eV per cell, total magnetic moment 0.000 μB/f.u., ρ 10.00 g/cm3. Number 4: E -55.619 eV per cell, total magnetic moment 0.000 μB/f.u., ρ 9.87 g/cm3.